# 1
## TcOsCl2 (meta-GGA SCAN)

Data for TcOsCl2 at its PBEsol-relaxed geometry.

Geometry as POSCAR:
```
TcOsCl2
1.0
4.882 0.000 0.000
0.000 4.882 0.000
0.000 0.000 4.949
Tc Os Cl
2 2 4
Cartesian
0.000 0.000 0.000 Tc
2.441 2.441 2.475 Tc
0.000 2.441 1.237 Os
2.441 0.000 3.712 Os
0.000 0.000 2.475 Cl
0.000 2.441 3.712 Cl
2.441 0.000 1.237 Cl
2.441 2.441 0.000 Cl
```

Calculated values
Formation energy without anion corrections (eV per formula unit): 4.23
Energy above the most stable polymorph in this dataset (meV/atom): 1208.8
Magnetic moment (μB per cell): 0.00
E (eV/atom): -29.666



# 2
## TcOsCl2 (meta-GGA SCAN)

Data for TcOsCl2 at its PBEsol-relaxed geometry.

Geometry as POSCAR:
```
TcOsCl2
1.0
2.897 0.000 0.000
-1.449 2.509 0.000
0.000 0.000 27.264
Tc Os Cl
3 3 6
Cartesian
0.000 0.000 0.000 Tc
0.000 1.673 18.176 Tc
1.449 0.836 9.088 Tc
0.000 0.000 7.072 Os
0.000 1.673 25.248 Os
1.449 0.836 16.160 Os
0.000 0.000 14.216 Cl
0.000 0.000 19.999 Cl
0.000 1.673 5.128 Cl
0.000 1.673 10.911 Cl
1.449 0.836 1.823 Cl
1.449 0.836 23.304 Cl
```

Calculated values
Formation energy without anion corrections (eV per formula unit): 0.64
Energy above the most stable polymorph in this dataset (meV/atom): 310.8
Magnetic moment (μB per cell): 0.00
E (eV/atom): -30.564



# 3
## TcTeOsCl2 (meta-GGA SCAN)

Data for TcTeOsCl2 at its PBEsol-relaxed geometry.

Geometry as POSCAR:
```
TcTeOsCl2
1.0
5.101 0.000 0.000
0.000 5.101 0.000
0.000 0.000 5.078
Tc Te Os Cl
1 1 1 2
Cartesian
0.000 0.000 0.000 Tc
0.000 0.000 2.539 Te
2.551 2.551 0.000 Os
0.000 2.551 2.539 Cl
2.551 0.000 2.539 Cl
```

Calculated values
Formation energy without anion corrections (eV per formula unit): 9.42
Magnetic moment (μB per cell): 6.49
E (eV/atom): -30.146